A plane-wave DFT calculation with PBE was carried out for a relaxed Cs2TmCuF6 crystal.

Structure (POSCAR):
```
Cs2TmCuF6
1.0
0.000 4.935 4.947
4.076 0.000 4.947
4.076 4.935 0.000
Cs Tm Cu F
2 1 1 6
direct
0.250 0.250 0.250
0.750 0.750 0.750
0.000 0.000 0.000
0.500 0.500 0.500
0.215 0.215 0.785
0.216 0.784 0.216
0.268 0.732 0.732
0.732 0.268 0.268
0.784 0.216 0.784
0.785 0.785 0.215
```

- Total moment: 0.07 μB/f.u.
- Symmetry: Fmmm
- Formation energy without anion corrections: -2.977 eV per atom